Record 1
# meta-GGA SCAN BOsSeBr2, PBEsol geometry
# * ΔE_f (raw): 1.310 eV/atom
data_BOsSeBr2
_chemical_formula_sum 'B1 Os1 Se1 Br2'
_space_group_name_H-M_alt 'P 1'
_space_group_IT_number 1
_space_group_name_Hall 'P 1'
_cell_length_a 5.154
_cell_length_b 5.154
_cell_length_c 4.581
_cell_angle_alpha 90.00
_cell_angle_beta 90.00
_cell_angle_gamma 90.00
loop_
_atom_site_label
_atom_site_fract_x
_atom_site_fract_y
_atom_site_fract_z
B1 0.000 0.000 0.000
Os1 0.500 0.500 0.500
Se1 0.500 0.500 0.000
Br1 0.000 0.500 0.500
Br2 0.500 0.000 0.500

=====

Record 2
# meta-GGA SCAN Sc2CuTc, PBEsol geometry
# * electronic total energy: -19.985 eV/atom
data_Sc2CuTc
_chemical_formula_sum 'Sc2 Cu1 Tc1'
_space_group_name_H-M_alt 'P 1'
_space_group_IT_number 1
_space_group_name_Hall 'P 1'
_cell_length_a 4.514
_cell_length_b 4.514
_cell_length_c 4.514
_cell_angle_alpha 60.00
_cell_angle_beta 60.00
_cell_angle_gamma 60.00
loop_
_atom_site_label
_atom_site_fract_x
_atom_site_fract_y
_atom_site_fract_z
Sc1 0.250 0.250 0.250
Sc2 0.750 0.750 0.750
Cu1 0.000 0.000 0.000
Tc1 0.500 0.500 0.500

=====

Record 3
# meta-GGA SCAN NaSc2TiTc, PBEsol geometry
# * electronic total energy: -16.507 eV/atom
data_NaSc2TiTc
_chemical_formula_sum 'Na1 Sc2 Ti1 Tc1'
_space_group_name_H-M_alt 'P 1'
_space_group_IT_number 1
_space_group_name_Hall 'P 1'
_cell_length_a 5.088
_cell_length_b 5.088
_cell_length_c 4.692
_cell_angle_alpha 90.00
_cell_angle_beta 90.00
_cell_angle_gamma 90.00
loop_
_atom_site_label
_atom_site_fract_x
_atom_site_fract_y
_atom_site_fract_z
Na1 0.000 0.000 0.000
Sc1 0.000 0.500 0.500
Sc2 0.500 0.000 0.500
Ti1 0.500 0.500 0.000
Tc1 0.500 0.500 0.500

=====

Record 4
# meta-GGA SCAN FeSi2Ir, PBEsol geometry
# * ΔE_f (raw): -0.006 eV/atom
data_FeSi2Ir
_chemical_formula_sum 'Fe1 Si2 Ir1'
_space_group_name_H-M_alt 'P 1'
_space_group_IT_number 1
_space_group_name_Hall 'P 1'
_cell_length_a 2.671
_cell_length_b 2.671
_cell_length_c 7.152
_cell_angle_alpha 90.00
_cell_angle_beta 90.00
_cell_angle_gamma 90.00
loop_
_atom_site_label
_atom_site_fract_x
_atom_site_fract_y
_atom_site_fract_z
Fe1 0.000 0.000 0.000
Si1 0.000 0.000 0.488
Si2 0.500 0.500 0.785
Ir1 0.500 0.500 0.250

=====

Record 5
# meta-GGA SCAN LaIrRh, PBEsol geometry
# * excess energy over the best structure of this formula in the dataset: 446 meV per atom
data_LaIrRh
_chemical_formula_sum 'La1 Ir1 Rh1'
_space_group_name_H-M_alt 'P 1'
_space_group_IT_number 1
_space_group_name_Hall 'P 1'
_cell_length_a 2.874
_cell_length_b 2.874
_cell_length_c 7.401
_cell_angle_alpha 90.00
_cell_angle_beta 90.00
_cell_angle_gamma 120.00
loop_
_atom_site_label
_atom_site_fract_x
_atom_site_fract_y
_atom_site_fract_z
La1 0.000 0.000 0.000
Ir1 0.333 0.667 0.361
Rh1 0.667 0.333 0.643

=====

Record 6
# meta-GGA SCAN LiCuSb2, PBEsol geometry
# * ΔE_f (raw): -0.034 eV/atom
# * excess energy over the best structure of this formula in the dataset: 0 meV per atom
data_LiCuSb2
_chemical_formula_sum 'Li1 Cu1 Sb2'
_space_group_name_H-M_alt 'P 1'
_space_group_IT_number 1
_space_group_name_Hall 'P 1'
_cell_length_a 3.235
_cell_length_b 3.235
_cell_length_c 7.873
_cell_angle_alpha 90.00
_cell_angle_beta 90.00
_cell_angle_gamma 102.83
loop_
_atom_site_label
_atom_site_fract_x
_atom_site_fract_y
_atom_site_fract_z
Li1 0.000 0.000 0.000
Cu1 0.000 0.000 0.500
Sb1 0.500 0.500 0.273
Sb2 0.500 0.500 0.727

=====

Record 7
# meta-GGA SCAN AgRu2Br, PBEsol geometry
# * ΔE_f (raw): 1.009 eV/atom
# * excess energy over the best structure of this formula in the dataset: 104 meV per atom
data_AgRu2Br
_chemical_formula_sum 'Ag1 Ru2 Br1'
_space_group_name_H-M_alt 'P 1'
_space_group_IT_number 1
_space_group_name_Hall 'P 1'
_cell_length_a 2.937
_cell_length_b 4.115
_cell_length_c 5.308
_cell_angle_alpha 90.00
_cell_angle_beta 104.25
_cell_angle_gamma 90.00
loop_
_atom_site_label
_atom_site_fract_x
_atom_site_fract_y
_atom_site_fract_z
Ag1 0.000 0.000 0.000
Ru1 0.373 0.500 0.731
Ru2 0.627 0.500 0.269
Br1 0.500 0.000 0.500

=====

Record 8
# meta-GGA SCAN Ti2TlC, PBEsol geometry
# * electronic total energy: -29.340 eV/atom
data_Ti2TlC
_chemical_formula_sum 'Ti4 Tl2 C2'
_space_group_name_H-M_alt 'P 1'
_space_group_IT_number 1
_space_group_name_Hall 'P 1'
_cell_length_a 3.137
_cell_length_b 3.137
_cell_length_c 14.024
_cell_angle_alpha 90.00
_cell_angle_beta 90.00
_cell_angle_gamma 120.00
loop_
_atom_site_label
_atom_site_fract_x
_atom_site_fract_y
_atom_site_fract_z
Ti1 0.333 0.667 0.078
Ti2 0.333 0.667 0.422
Ti3 0.667 0.333 0.578
Ti4 0.667 0.333 0.922
Tl1 0.333 0.667 0.750
Tl2 0.667 0.333 0.250
C1 0.000 0.000 0.000
C2 0.000 0.000 0.500

=====

Record 9
# meta-GGA SCAN MgSiTe2, PBEsol geometry
# * ΔE_f (raw): 0.113 eV/atom
# * excess energy over the best structure of this formula in the dataset: 0 meV per atom
data_MgSiTe2
_chemical_formula_sum 'Mg1 Si1 Te2'
_space_group_name_H-M_alt 'P 1'
_space_group_IT_number 1
_space_group_name_Hall 'P 1'
_cell_length_a 5.441
_cell_length_b 5.441
_cell_length_c 3.750
_cell_angle_alpha 106.74
_cell_angle_beta 106.74
_cell_angle_gamma 91.20
loop_
_atom_site_label
_atom_site_fract_x
_atom_site_fract_y
_atom_site_fract_z
Mg1 0.000 0.000 0.000
Si1 0.500 0.500 0.000
Te1 0.000 0.500 0.500
Te2 0.500 0.000 0.500

=====

Record 10
# meta-GGA SCAN MgMn2Br, PBEsol geometry
# * ΔE_f (raw): -0.115 eV/atom
# * excess energy over the best structure of this formula in the dataset: 0 meV per atom
data_MgMn2Br
_chemical_formula_sum 'Mg1 Mn2 Br1'
_space_group_name_H-M_alt 'P 1'
_space_group_IT_number 1
_space_group_name_Hall 'P 1'
_cell_length_a 3.112
_cell_length_b 3.112
_cell_length_c 7.236
_cell_angle_alpha 90.00
_cell_angle_beta 90.00
_cell_angle_gamma 90.00
loop_
_atom_site_label
_atom_site_fract_x
_atom_site_fract_y
_atom_site_fract_z
Mg1 0.000 0.000 0.000
Mn1 0.000 0.000 0.406
Mn2 0.500 0.500 0.236
Br1 0.500 0.500 0.653

=====

Record 11
# meta-GGA SCAN Cs2Cu2W, PBEsol geometry
# * electronic total energy: -33.141 eV/atom
data_Cs2Cu2W
_chemical_formula_sum 'Cs2 Cu2 W1'
_space_group_name_H-M_alt 'P 1'
_space_group_IT_number 1
_space_group_name_Hall 'P 1'
_cell_length_a 7.678
_cell_length_b 7.678
_cell_length_c 7.678
_cell_angle_alpha 145.83
_cell_angle_beta 145.83
_cell_angle_gamma 49.09
loop_
_atom_site_label
_atom_site_fract_x
_atom_site_fract_y
_atom_site_fract_z
Cs1 0.250 0.750 0.500
Cs2 0.750 0.250 0.500
Cu1 0.079 0.079 0.000
Cu2 0.921 0.921 0.000
W1 0.500 0.500 0.000

=====

Record 12
# meta-GGA SCAN Be2GaSe, PBEsol geometry
# * ΔE_f (raw): 0.088 eV/atom
data_Be2GaSe
_chemical_formula_sum 'Be4 Ga2 Se2'
_space_group_name_H-M_alt 'P 1'
_space_group_IT_number 1
_space_group_name_Hall 'P 1'
_cell_length_a 5.934
_cell_length_b 5.934
_cell_length_c 5.934
_cell_angle_alpha 123.75
_cell_angle_beta 123.75
_cell_angle_gamma 83.63
loop_
_atom_site_label
_atom_site_fract_x
_atom_site_fract_y
_atom_site_fract_z
Be1 0.098 0.625 0.973
Be2 0.375 0.348 0.473
Be3 0.652 0.125 0.027
Be4 0.875 0.902 0.527
Ga1 0.250 0.750 0.500
Ga2 0.500 0.500 0.000
Se1 0.000 0.000 0.000
Se2 0.750 0.250 0.500

=====

Record 13
# meta-GGA SCAN Cu2RhSe, PBEsol geometry
# * ΔE_f (raw): 0.329 eV/atom
data_Cu2RhSe
_chemical_formula_sum 'Cu2 Rh1 Se1'
_space_group_name_H-M_alt 'P 1'
_space_group_IT_number 1
_space_group_name_Hall 'P 1'
_cell_length_a 2.753
_cell_length_b 2.753
_cell_length_c 7.406
_cell_angle_alpha 90.00
_cell_angle_beta 90.00
_cell_angle_gamma 90.00
loop_
_atom_site_label
_atom_site_fract_x
_atom_site_fract_y
_atom_site_fract_z
Cu1 0.000 0.000 0.232
Cu2 0.000 0.000 0.768
Rh1 0.500 0.500 0.000
Se1 0.500 0.500 0.500

=====

Record 14
# meta-GGA SCAN Y3TeRh, PBEsol geometry
# * ΔE_f (raw): 0.369 eV/atom
data_Y3TeRh
_chemical_formula_sum 'Y3 Te1 Rh1'
_space_group_name_H-M_alt 'P 1'
_space_group_IT_number 1
_space_group_name_Hall 'P 1'
_cell_length_a 5.458
_cell_length_b 5.458
_cell_length_c 5.458
_cell_angle_alpha 90.00
_cell_angle_beta 90.00
_cell_angle_gamma 90.00
loop_
_atom_site_label
_atom_site_fract_x
_atom_site_fract_y
_atom_site_fract_z
Y1 0.000 0.000 0.500
Y2 0.000 0.500 0.000
Y3 0.500 0.000 0.000
Te1 0.000 0.000 0.000
Rh1 0.500 0.500 0.500

=====

Record 15
# meta-GGA SCAN TlSi2Tc, PBEsol geometry
# * ΔE_f (raw): 0.782 eV/atom
# * excess energy over the best structure of this formula in the dataset: 562 meV per atom
data_TlSi2Tc
_chemical_formula_sum 'Tl1 Si2 Tc1'
_space_group_name_H-M_alt 'P 1'
_space_group_IT_number 1
_space_group_name_Hall 'P 1'
_cell_length_a 4.456
_cell_length_b 4.456
_cell_length_c 3.233
_cell_angle_alpha 90.00
_cell_angle_beta 90.00
_cell_angle_gamma 90.00
loop_
_atom_site_label
_atom_site_fract_x
_atom_site_fract_y
_atom_site_fract_z
Tl1 0.000 0.000 0.000
Si1 0.000 0.500 0.500
Si2 0.500 0.000 0.500
Tc1 0.500 0.500 0.000

=====

Record 16
# meta-GGA SCAN Zr2PbI, PBEsol geometry
# * ΔE_f (raw): -0.192 eV/atom
data_Zr2PbI
_chemical_formula_sum 'Zr2 Pb1 I1'
_space_group_name_H-M_alt 'P 1'
_space_group_IT_number 1
_space_group_name_Hall 'P 1'
_cell_length_a 5.040
_cell_length_b 5.040
_cell_length_c 5.040
_cell_angle_alpha 60.00
_cell_angle_beta 60.00
_cell_angle_gamma 60.00
loop_
_atom_site_label
_atom_site_fract_x
_atom_site_fract_y
_atom_site_fract_z
Zr1 0.250 0.250 0.250
Zr2 0.750 0.750 0.750
Pb1 0.000 0.000 0.000
I1 0.500 0.500 0.500

=====

Record 17
# meta-GGA SCAN LaBiPd2Au, PBEsol geometry
# * electronic total energy: -50.452 eV/atom
data_LaBiPd2Au
_chemical_formula_sum 'La1 Bi1 Pd2 Au1'
_space_group_name_H-M_alt 'P 1'
_space_group_IT_number 1
_space_group_name_Hall 'P 1'
_cell_length_a 4.931
_cell_length_b 4.931
_cell_length_c 6.157
_cell_angle_alpha 90.00
_cell_angle_beta 90.00
_cell_angle_gamma 90.00
loop_
_atom_site_label
_atom_site_fract_x
_atom_site_fract_y
_atom_site_fract_z
La1 0.000 0.000 0.000
Bi1 0.000 0.000 0.500
Pd1 0.000 0.500 0.000
Pd2 0.500 0.000 0.000
Au1 0.500 0.500 0.500

=====

Record 18
# meta-GGA SCAN YTaBe2, PBEsol geometry
# * excess energy over the best structure of this formula in the dataset: 0 meV per atom
data_YTaBe2
_chemical_formula_sum 'Y1 Ta1 Be2'
_space_group_name_H-M_alt 'P 1'
_space_group_IT_number 1
_space_group_name_Hall 'P 1'
_cell_length_a 2.978
_cell_length_b 3.456
_cell_length_c 6.077
_cell_angle_alpha 90.00
_cell_angle_beta 90.00
_cell_angle_gamma 90.00
loop_
_atom_site_label
_atom_site_fract_x
_atom_site_fract_y
_atom_site_fract_z
Y1 0.000 0.000 0.000
Ta1 0.000 0.000 0.500
Be1 0.500 0.500 0.309
Be2 0.500 0.500 0.691

=====

Record 19
# meta-GGA SCAN SiIr2Au, PBEsol geometry
# * ΔE_f (raw): 0.227 eV/atom
data_SiIr2Au
_chemical_formula_sum 'Si1 Ir2 Au1'
_space_group_name_H-M_alt 'P 1'
_space_group_IT_number 1
_space_group_name_Hall 'P 1'
_cell_length_a 2.733
_cell_length_b 4.505
_cell_length_c 4.792
_cell_angle_alpha 90.00
_cell_angle_beta 90.00
_cell_angle_gamma 90.00
loop_
_atom_site_label
_atom_site_fract_x
_atom_site_fract_y
_atom_site_fract_z
Si1 0.000 0.000 0.000
Ir1 0.000 0.500 0.500
Ir2 0.500 0.500 0.000
Au1 0.500 0.000 0.500

=====

Record 20
# meta-GGA SCAN Ce3B2Cl3O6, PBEsol geometry
# * ΔE_f (raw): -3.090 eV/atom
data_Ce3B2Cl3O6
_chemical_formula_sum 'Ce6 B4 Cl6 O12'
_space_group_name_H-M_alt 'P 1'
_space_group_IT_number 1
_space_group_name_Hall 'P 1'
_cell_length_a 9.109
_cell_length_b 9.109
_cell_length_c 5.681
_cell_angle_alpha 90.00
_cell_angle_beta 90.00
_cell_angle_gamma 120.00
loop_
_atom_site_label
_atom_site_fract_x
_atom_site_fract_y
_atom_site_fract_z
Ce1 0.054 0.386 0.250
Ce2 0.332 0.946 0.250
Ce3 0.386 0.332 0.750
Ce4 0.614 0.668 0.250
Ce5 0.668 0.054 0.750
Ce6 0.946 0.614 0.750
B1 0.333 0.667 0.516
B2 0.333 0.667 0.984
B3 0.667 0.333 0.016
B4 0.667 0.333 0.484
Cl1 0.038 0.239 0.750
Cl2 0.200 0.962 0.750
Cl3 0.239 0.200 0.250
Cl4 0.761 0.800 0.750
Cl5 0.800 0.038 0.250
Cl6 0.962 0.761 0.250
O1 0.169 0.635 0.000
O2 0.169 0.635 0.500
O3 0.365 0.534 0.000
O4 0.365 0.534 0.500
O5 0.466 0.831 0.000
O6 0.466 0.831 0.500
O7 0.534 0.169 0.000
O8 0.534 0.169 0.500
O9 0.635 0.466 0.000
O10 0.635 0.466 0.500
O11 0.831 0.365 0.000
O12 0.831 0.365 0.500